VASP calculation (SCAN) on a PBEsol-optimized structure of AgOsAu.

Lattice parameters (Å, degrees): 4.303 4.303 4.303 60.00 60.00 60.00
Each line ends with the local moment (μB).
Atoms (fractional coordinates):
Os: 0.000 0.000 0.000  1.79
Au: 0.250 0.250 0.250  0.22
Ag: 0.500 0.500 0.500  0.00

Results
* ΔE_f: 1195 meV/atom
* size of the total moment: 2.16 μB/f.u.
* electronic total energy: -56.27 eV per atom
* offset from the most stable computed form: 694 meV per atom